This record from Alexandria describes a relaxed structure of Ce2Pr3HoAs6. The functional is PBE.

It has space group C2/m (No. 12), with a = 7.341 Å, b = 12.716 Å, c = 7.355 Å, α = 90.00°, β = 109.43° and γ = 90.00°. The asymmetric unit holds Ce at (0.000, 0.167, 0.000), Pr at (0.000, 0.000, 0.500), Pr at (0.000, 0.333, 0.500), Ho at (0.000, 0.500, 0.000), As at (0.246, 0.334, 0.239) and As at (0.249, 0.000, 0.241).

As for the magnetic moment: 1.1 μB per formula unit. The total DFT energy (no corrections) is -6.372 eV/atom.